Entry 1:
The following is a DFT calculation (PBE-GGA) of SmY3Ga2 after structural relaxation.

Summary:
Offset from the most stable computed form ... 214.8 meV per atom
Magnetization ... 0.000 μB/atom
DOS at the Fermi energy ... 1.120 states/eV/atom

Cell: 6.982 14.316 7.249 Å, 90.00 90.00 90.00°
Space group Ibam (No. 72)
One atom of each set of equivalent atoms:
Sm  0.000  0.000  0.000 x4
Y  0.000  0.226  0.250 x8
Y  0.000  0.500  0.250 x4
Ga  0.198  0.362  0.000 x8

=====

Entry 2:
The following is a DFT calculation (PBE-GGA) of Sm2Y3Ga4 after structural relaxation.

Summary:
Magnetization ... 0.000 μB/atom
DOS at the Fermi energy ... 0.889 states/eV/atom

Cell: 7.983 8.013 7.551 Å, 90.00 106.54 90.00°
Space group P2_1/c (No. 14)
One atom of each set of equivalent atoms:
Sm  0.192  0.183  0.076 x4
Y  0.239  0.675  0.251 x4
Y  0.500  0.000  0.500 x2
Ga  0.082  0.528  0.867 x4
Ga  0.492  0.121  0.879 x4

=====

Entry 3:
The following is a DFT calculation (PBE-GGA) of Sm2YGa2 after structural relaxation.

Summary:
Offset from the most stable computed form ... 0.0 meV per atom
Magnetization ... 0.000 μB/atom
DOS at the Fermi energy ... 1.188 states/eV/atom

Cell: 7.727 7.727 4.456 Å, 90.00 90.00 90.00°
Space group P4/mbm (No. 127)
One atom of each set of equivalent atoms:
Sm  0.174  0.326  0.000 x4
Y  0.000  0.000  0.500 x2
Ga  0.119  0.619  0.500 x4

=====

Number 1: formation enthalpy at 0 K -1.34 eV/f.u.. Number 2: formation enthalpy at 0 K -5.35 eV/f.u.. Number 3: formation enthalpy at 0 K -2.62 eV/f.u..